Material: TlCrO3
Method: DFT, PBE with a Hubbard U
State: optimized geometry

The value obtained for the magnetic moment is 0.200 μB/atom. Its raw total energy is -60.42 eV for the cell shown.

```
10
Lattice="3.138 0.000 0.000 0.000 7.422 0.000 -1.497 0.000 7.439" Properties=species:S:1:pos:R:3 pbc="T T T"
Tl 0.020 1.855 2.531
Tl 1.621 5.566 4.908
Cr 0.049 1.855 6.212
Cr 1.592 5.566 1.227
O 0.023 5.566 0.223
O 0.049 0.478 5.293
O 0.049 3.233 5.293
O 1.592 4.188 2.146
O 1.592 6.944 2.146
O 1.618 1.855 7.216
```